1.
YZr2SnO | PBE-GGA | relaxed

Output
Fermi-level density of states	4.970	states/eV/cell
calculated density	6.835	Mg/m³
M_tot	0.0	μB/cell
uncorrected formation energy	-1241	meV/atom
SG	P4/mmm (123)

Unit cell a=4.4624 b=4.4624 c=4.9539 alpha=90.00 beta=90.00 gamma=90.00
Positions (direct):
Y: 0.0000 0.0000 0.0000
Zr: 0.0000 0.5000 0.5000
Zr: 0.5000 0.0000 0.5000
Sn: 0.5000 0.5000 0.0000
O: 0.0000 0.0000 0.5000

2.
ErPaCo | PBE-GGA | relaxed

Output
Fermi-level density of states	4.673	states/eV/cell
calculated density	10.716	Mg/m³
offset from the most stable computed form	243.6	meV/atom
M_tot	0.0	μB/cell
ΔE_f	0.1019	eV/atom
SG	P-6m2 (187)

Unit cell a=4.1839 b=4.1839 c=4.6736 alpha=90.00 beta=90.00 gamma=120.00
Positions (direct):
Er: 0.0000 0.0000 0.0000
Pa: 0.6667 0.3333 0.5000
Co: 0.3333 0.6667 0.5000

3.
Dy6ErTm4 | PBE-GGA | relaxed

Output
Fermi-level density of states	37.185	states/eV/cell
calculated density	8.867	Mg/m³
offset from the most stable computed form	0.0	meV/atom
M_tot	0.0	μB/cell
ΔE_f	0.1287	eV/atom
SG	Cmcm (63)

Unit cell a=5.5383 b=5.5383 c=25.3792 alpha=90.00 beta=90.00 gamma=118.99
Positions (direct):
Dy: 0.0000 0.0000 0.0000
Dy: 0.0000 0.0000 0.5000
Dy: 0.0207 0.9793 0.7500
Dy: 0.3133 0.6867 0.1035
Dy: 0.3133 0.6867 0.3965
Dy: 0.3545 0.6455 0.6817
Dy: 0.3545 0.6455 0.8183
Dy: 0.6455 0.3545 0.1817
Dy: 0.6455 0.3545 0.3183
Dy: 0.6867 0.3133 0.6035
Dy: 0.6867 0.3133 0.8965
Dy: 0.9793 0.0207 0.2500
Er: 0.3138 0.6862 0.2500
Er: 0.6862 0.3138 0.7500
Tm: 0.0239 0.9761 0.6218
Tm: 0.0239 0.9761 0.8782
Tm: 0.3416 0.6584 0.5428
Tm: 0.3416 0.6584 0.9572
Tm: 0.6584 0.3416 0.0428
Tm: 0.6584 0.3416 0.4572
Tm: 0.9761 0.0239 0.1218
Tm: 0.9761 0.0239 0.3782

4.
CaTl2Si2 | PBE-GGA | relaxed

Output
Fermi-level density of states	3.930	states/eV/cell
calculated density	6.699	Mg/m³
offset from the most stable computed form	3.6	meV/atom
M_tot	0.0	μB/cell
uncorrected formation energy	91	meV/atom
SG	P4/mbm (127)

Unit cell a=7.6014 b=7.6014 c=4.3331 alpha=90.00 beta=90.00 gamma=90.00
Positions (direct):
Ca: 0.0000 0.0000 0.0000
Ca: 0.5000 0.5000 0.0000
Tl: 0.1794 0.3206 0.5000
Tl: 0.3206 0.8206 0.5000
Tl: 0.6794 0.1794 0.5000
Tl: 0.8206 0.6794 0.5000
Si: 0.1088 0.6088 0.0000
Si: 0.3912 0.1088 0.0000
Si: 0.6088 0.8912 0.0000
Si: 0.8912 0.3912 0.0000

5.
VTcMo2 | PBE-GGA | relaxed

Output
Fermi-level density of states	2.607	states/eV/cell
calculated density	9.479	Mg/m³
offset from the most stable computed form	0.0	meV/atom
M_tot	0.0	μB/cell
ΔE_f	-0.0962	eV/atom
SG	P4/mmm (123)

Unit cell a=4.3833 b=4.3833 c=3.1074 alpha=90.00 beta=90.00 gamma=90.00
Positions (direct):
V: 0.0000 0.0000 0.0000
Tc: 0.5000 0.5000 0.0000
Mo: 0.0000 0.5000 0.5000
Mo: 0.5000 0.0000 0.5000

6.
PuUH2 | PBE-GGA | relaxed

Output
Fermi-level density of states	9.826	states/eV/cell
calculated density	14.982	Mg/m³
offset from the most stable computed form	134.7	meV/atom
M_tot	7.3	μB/cell
SG	R3m (160)

Unit cell a=6.4982 b=6.4982 c=6.4982 alpha=28.07 beta=28.07 gamma=28.07
Positions (direct):
Pu: 0.0000 0.0000 0.0000
U: 0.8290 0.8290 0.8290
H: 0.4171 0.4171 0.4171
H: 0.5792 0.5792 0.5792

7.
ThPa2NiN5 | PBE-GGA | relaxed

Output
Fermi-level density of states	11.514	states/eV/cell
calculated density	11.625	Mg/m³
M_tot	2.0	μB/cell
uncorrected formation energy	-1267	meV/atom
SG	I4/mcm (140)

Unit cell a=7.2049 b=7.2049 c=7.2049 alpha=126.25 beta=126.25 gamma=79.48
Positions (direct):
Th: 0.2500 0.2500 0.0000
Th: 0.7500 0.7500 0.0000
Pa: 0.1666 0.6666 0.8332
Pa: 0.3334 0.1666 0.5000
Pa: 0.6666 0.8334 0.5000
Pa: 0.8334 0.3334 0.1668
Ni: 0.2500 0.7500 0.5000
Ni: 0.7500 0.2500 0.5000
N: 0.0000 0.0000 0.0000
N: 0.0250 0.2053 0.5000
N: 0.2053 0.7053 0.1803
N: 0.2947 0.4750 0.5000
N: 0.4750 0.9750 0.1803
N: 0.5000 0.5000 0.0000
N: 0.5250 0.0250 0.8197
N: 0.7053 0.5250 0.5000
N: 0.7947 0.2947 0.8197
N: 0.9750 0.7947 0.5000

8.
LaAg2Mo | PBE-GGA | relaxed

Output
Fermi-level density of states	1.994	states/eV/cell
calculated density	8.264	Mg/m³
offset from the most stable computed form	100.2	meV/atom
M_tot	2.7	μB/cell
ΔE_f	0.4654	eV/atom
SG	Fm-3m (225)

Unit cell a=5.0402 b=5.0402 c=5.0402 alpha=60.00 beta=60.00 gamma=60.00
Positions (direct):
La: 0.0000 0.0000 0.0000
Ag: 0.2500 0.2500 0.2500
Ag: 0.7500 0.7500 0.7500
Mo: 0.5000 0.5000 0.5000